Pm2Pr3Se6 PBE optimized geometry; formation energy from raw total energies = -1888 meV/atom; energy relative to the lowest polymorph listed for this composition = 0 meV/atom
1.0
-7.0118 -1.7243 1.2852
-1.7663 -6.7273 2.2650
-1.6286 1.4373 6.9423
Pm Se Pr
2 6 3
Direct
0.8345 0.3310 0.5000
0.1655 0.6690 0.5000
0.2505 0.0000 0.2608
0.9127 0.6685 0.2559
0.4188 0.6685 0.7441
0.0873 0.3315 0.7441
0.7495 0.0000 0.7392
0.5812 0.3315 0.2559
0.0000 0.0000 0.0000
0.3361 0.3278 0.0000
0.6639 0.6722 0.0000